No. 1
Computed, not measured: a relaxed HfFe4Cu crystal at the PBE level of DFT.

abc: 6.757 6.757 6.757
angles: 90.00 90.00 90.00
Space group F-43m (No. 216)
Symmetry-distinct sites (fractional):
Hf  0.000  0.000  0.000 [4 per cell]
Fe  0.124  0.124  0.376 [16 per cell]
Cu  0.250  0.250  0.750 [4 per cell]

Results
The value obtained for the density of states at the Fermi level is 25.36 states/eV per cell. Its crystal system is cubic. The total moment is 23.9 μB per cell. The calculation puts the formation energy from the elements at -0.0897 eV per atom. The calculated total energy is -193.75 eV/cell.



No. 2
Computed, not measured: a relaxed PaSiNiN crystal at the PBE level of DFT.

abc: 3.937 3.937 7.728
angles: 90.00 90.00 90.00
Space group P4/nmm (No. 129, origin choice 2)
Symmetry-distinct sites (fractional):
Pa  0.250  0.250  0.151 [2 per cell]
Si  0.250  0.250  0.648 [2 per cell]
Ni  0.250  0.750  0.500 [2 per cell]
N  0.250  0.750  0.000 [2 per cell]

Results
The value obtained for the density of states at the Fermi level is 4.45 states/eV per cell. The calculation puts the uncorrected formation energy at -1.125 eV per atom. Its crystal system is tetragonal. The total moment is 0.0 μB per cell. The calculated total energy is -67.05 eV/cell.



No. 3
Computed, not measured: a relaxed Ce4PuHgAu crystal at the PBE level of DFT.

abc: 7.057 6.544 8.696
angles: 90.00 111.07 90.00
Space group P2_1/m (No. 11)
Symmetry-distinct sites (fractional):
Ce  0.167  0.011  0.290 [4 per cell]
Ce  0.290  0.250  0.896 [2 per cell]
Ce  0.293  0.750  0.655 [2 per cell]
Pu  0.019  0.250  0.606 [2 per cell]
Hg  0.222  0.750  0.997 [2 per cell]
Au  0.445  0.250  0.606 [2 per cell]

Results
The value obtained for the density of states at the Fermi level is 32.27 states/eV per cell. Its crystal system is monoclinic. The total moment is 7.4 μB per cell. The calculation puts the formation energy from the elements at -0.2226 eV per atom. The calculated total energy is -86.41 eV/cell.



No. 4
Computed, not measured: a relaxed NdPuCo crystal at the PBE level of DFT.

abc: 6.318 14.129 6.299
angles: 90.00 90.00 90.00
Space group Cmce (No. 64)
Symmetry-distinct sites (fractional):
Nd  0.000  0.192  0.001 [8 per cell]
Pu  0.250  0.000  0.250 [8 per cell]
Co  0.000  0.109  0.500 [8 per cell]

Results
The value obtained for the density of states at the Fermi level is 55.06 states/eV per cell. Its crystal system is orthorhombic. The total moment is 38.5 μB per cell. The calculation puts the formation energy from the elements at 0.0471 eV per atom. The calculated total energy is -208.51 eV/cell.



No. 5
Computed, not measured: a relaxed YCoSi3 crystal at the PBE level of DFT.

abc: 5.215 5.215 5.215
angles: 90.00 90.00 90.00
Space group Pm-3m (No. 221)
Symmetry-distinct sites (fractional):
Y  0.000  0.000  0.000 [1 per cell]
Co  0.500  0.500  0.500 [1 per cell]
Si  0.000  0.000  0.500 [3 per cell]

Results
The value obtained for the density of states at the Fermi level is 6.22 states/eV per cell. The calculation puts the uncorrected formation energy at 1.689 eV per atom. Its crystal system is cubic. The total moment is 2.4 μB per cell. The calculated total energy is -21.39 eV/cell.



No. 6
Computed, not measured: a relaxed K2TmMnS4 crystal at the PBE level of DFT.

abc: 7.866 8.104 11.859
angles: 90.00 90.00 90.00
Space group Imma (No. 74)
Symmetry-distinct sites (fractional):
K  0.000  0.000  0.000 [4 per cell]
K  0.250  0.250  0.250 [4 per cell]
Tm  0.000  0.000  0.500 [4 per cell]
Mn  0.250  0.250  0.750 [4 per cell]
S  0.000  0.061  0.737 [8 per cell]
S  0.222  0.250  0.508 [8 per cell]

Results
The value obtained for the density of states at the Fermi level is 3.59 states/eV per cell. The calculation puts the uncorrected formation energy at -1.234 eV per atom. Its crystal system is orthorhombic. The total moment is 16.0 μB per cell. The calculated total energy is -168.87 eV/cell.